# 1
Here is ZrSiSb2 at its PBEsol-relaxed geometry from Alexandria via LeMat-Bulk. Energies are from SCAN.

Values from the calculation:
The crystal system is tetragonal. Its volume is 30.96 A^3/atom. For the raw total energy, the calculation gives -2.096 Ry/atom. The formation energy (no corrections) is 1.1 eV per formula unit.

CIF file:
```
data_ZrSiSb2
_chemical_formula_sum 'Zr4 Si4 Sb8'
_symmetry_space_group_name_H-M 'I -4 2 d'
_symmetry_Int_Tables_number 122
_symmetry_space_group_name_Hall 'I -4 2bw'
_cell_length_a 6.4575
_cell_length_b 6.4575
_cell_length_c 11.8779
_cell_angle_alpha 90.00
_cell_angle_beta 90.00
_cell_angle_gamma 90.00
loop_
_atom_site_label
_atom_site_type_symbol
_atom_site_fract_x
_atom_site_fract_y
_atom_site_fract_z
Zr1 Zr 0.0000 0.0000 0.0000
Si1 Si 0.0000 0.0000 0.5000
Sb1 Sb 0.2266 0.2500 0.6250
```

=====

# 2
Here is ZrSiSb2 at its PBEsol-relaxed geometry from Alexandria via LeMat-Bulk. Energies are from SCAN.

Values from the calculation:
The crystal system is orthorhombic. Its volume is 21.49 A^3/atom. For the raw total energy, the calculation gives -2.111 Ry/atom. The formation energy (no corrections) is 0.3 eV per formula unit.

CIF file:
```
data_ZrSiSb2
_chemical_formula_sum 'Zr1 Si1 Sb2'
_symmetry_space_group_name_H-M 'P m m m'
_symmetry_Int_Tables_number 47
_cell_length_a 3.6402
_cell_length_b 4.8025
_cell_length_c 4.9160
_cell_angle_alpha 90.00
_cell_angle_beta 90.00
_cell_angle_gamma 90.00
loop_
_symmetry_equiv_pos_as_xyz
'x,y,z'
'-x,-y,-z'
'-x,-y,z'
'x,y,-z'
'x,-y,-z'
'-x,y,z'
'-x,y,-z'
'x,-y,z'
loop_
_atom_site_label
_atom_site_type_symbol
_atom_site_fract_x
_atom_site_fract_y
_atom_site_fract_z
Zr1 Zr 0.0000 0.0000 0.0000
Si1 Si 0.5000 0.0000 0.5000
Sb1 Sb 0.0000 0.5000 0.5000
Sb2 Sb 0.5000 0.5000 0.0000
```

=====

# 3
Here is ZrSi2Sb at its PBEsol-relaxed geometry from Alexandria via LeMat-Bulk. Energies are from SCAN.

Values from the calculation:
The crystal system is monoclinic. Its volume is 18.90 A^3/atom. For the raw total energy, the calculation gives -1.622 Ry/atom. The formation energy (no corrections) is -0.3 eV per formula unit.

CIF file:
```
data_ZrSi2Sb
_chemical_formula_sum 'Zr1 Si2 Sb1'
_symmetry_space_group_name_H-M 'P 1 2/m 1'
_symmetry_Int_Tables_number 10
_cell_length_a 3.6279
_cell_length_b 3.6452
_cell_length_c 5.8013
_cell_angle_alpha 90.00
_cell_angle_beta 99.86
_cell_angle_gamma 90.00
loop_
_symmetry_equiv_pos_as_xyz
'x,y,z'
'-x,-y,-z'
'-x,y,-z'
'x,-y,z'
loop_
_atom_site_label
_atom_site_type_symbol
_atom_site_fract_x
_atom_site_fract_y
_atom_site_fract_z
Zr1 Zr 0.0000 0.0000 0.0000
Si1 Si 0.4643 0.5000 0.7876
Sb1 Sb 0.0000 0.0000 0.5000
```

=====

# 4
Here is ZrSiSb at its PBEsol-relaxed geometry from Alexandria via LeMat-Bulk. Energies are from SCAN.

Values from the calculation:
The crystal system is cubic. Its volume is 24.54 A^3/atom. For the raw total energy, the calculation gives -1.879 Ry/atom. The formation energy (no corrections) is 1.3 eV per formula unit.

CIF file:
```
data_ZrSiSb
_chemical_formula_sum 'Zr4 Si4 Sb4'
_symmetry_space_group_name_H-M 'F -4 3 m'
_symmetry_Int_Tables_number 216
_symmetry_space_group_name_Hall 'F -4 2 3'
_cell_length_a 6.6530
_cell_length_b 6.6530
_cell_length_c 6.6530
_cell_angle_alpha 90.00
_cell_angle_beta 90.00
_cell_angle_gamma 90.00
loop_
_atom_site_label
_atom_site_type_symbol
_atom_site_fract_x
_atom_site_fract_y
_atom_site_fract_z
Zr1 Zr 0.0000 0.0000 0.0000
Si1 Si 0.0000 0.0000 0.5000
Sb1 Sb 0.2500 0.2500 0.7500
```

=====

# 5
Here is ZrSiSb2 at its PBEsol-relaxed geometry from Alexandria via LeMat-Bulk. Energies are from SCAN.

Values from the calculation:
The crystal system is monoclinic. Its volume is 21.73 A^3/atom. For the raw total energy, the calculation gives -2.117 Ry/atom. The formation energy (no corrections) is 0.0 eV per formula unit.

CIF file:
```
data_ZrSiSb2
_chemical_formula_sum 'Zr2 Si2 Sb4'
_symmetry_space_group_name_H-M 'C 1 2/m 1'
_symmetry_Int_Tables_number 12
_cell_length_a 10.3058
_cell_length_b 3.5399
_cell_length_c 4.7790
_cell_angle_alpha 90.00
_cell_angle_beta 94.23
_cell_angle_gamma 90.00
loop_
_symmetry_equiv_pos_as_xyz
'x,y,z'
'-x,-y,-z'
'-x,y,-z'
'x,-y,z'
'x+1/2,y+1/2,z'
'-x+1/2,-y+1/2,-z'
'-x+1/2,y+1/2,-z'
'x+1/2,-y+1/2,z'
loop_
_atom_site_label
_atom_site_type_symbol
_atom_site_fract_x
_atom_site_fract_y
_atom_site_fract_z
Zr1 Zr 0.0000 0.0000 0.0000
Si1 Si 0.0000 0.5000 0.5000
Sb1 Sb 0.2331 0.5000 0.2429
```

=====

# 6
Here is ZrSi2Sb at its PBEsol-relaxed geometry from Alexandria via LeMat-Bulk. Energies are from SCAN.

Values from the calculation:
The crystal system is tetragonal. Its volume is 19.64 A^3/atom. For the raw total energy, the calculation gives -1.613 Ry/atom. The formation energy (no corrections) is 0.2 eV per formula unit.

CIF file:
```
data_ZrSi2Sb
_chemical_formula_sum 'Zr1 Si2 Sb1'
_symmetry_space_group_name_H-M 'P 4 m m'
_symmetry_Int_Tables_number 99
_cell_length_a 3.1121
_cell_length_b 3.1121
_cell_length_c 8.1118
_cell_angle_alpha 90.00
_cell_angle_beta 90.00
_cell_angle_gamma 90.00
loop_
_symmetry_equiv_pos_as_xyz
'x,y,z'
'-y,x,z'
'-x,-y,z'
'y,-x,z'
'-x,y,z'
'y,x,z'
'x,-y,z'
'-y,-x,z'
loop_
_atom_site_label
_atom_site_type_symbol
_atom_site_fract_x
_atom_site_fract_y
_atom_site_fract_z
Zr1 Zr 0.0000 0.0000 0.0000
Si1 Si 0.0000 0.0000 0.6249
Si2 Si 0.5000 0.5000 0.7763
Sb1 Sb 0.5000 0.5000 0.2820
```

=====

# 7
Here is ZrSiSb2 at its PBEsol-relaxed geometry from Alexandria via LeMat-Bulk. Energies are from SCAN.

Values from the calculation:
The crystal system is cubic. Its volume is 21.87 A^3/atom. For the raw total energy, the calculation gives -2.095 Ry/atom. The formation energy (no corrections) is 1.2 eV per formula unit.

CIF file:
```
data_ZrSiSb2
_chemical_formula_sum 'Zr4 Si4 Sb8'
_symmetry_space_group_name_H-M 'F -4 3 m'
_symmetry_Int_Tables_number 216
_symmetry_space_group_name_Hall 'F -4 2 3'
_cell_length_a 7.0464
_cell_length_b 7.0464
_cell_length_c 7.0464
_cell_angle_alpha 90.00
_cell_angle_beta 90.00
_cell_angle_gamma 90.00
loop_
_atom_site_label
_atom_site_type_symbol
_atom_site_fract_x
_atom_site_fract_y
_atom_site_fract_z
Zr1 Zr 0.0000 0.0000 0.0000
Si1 Si 0.2500 0.2500 0.7500
Sb1 Sb 0.0000 0.0000 0.5000
Sb2 Sb 0.2500 0.2500 0.2500
```

=====

# 8
Here is ZrSiSb2 at its PBEsol-relaxed geometry from Alexandria via LeMat-Bulk. Energies are from SCAN.

Values from the calculation:
The crystal system is orthorhombic. Its volume is 21.29 A^3/atom. For the raw total energy, the calculation gives -2.117 Ry/atom. The formation energy (no corrections) is 0.0 eV per formula unit.

CIF file:
```
data_ZrSiSb2
_chemical_formula_sum 'Zr2 Si2 Sb4'
_symmetry_space_group_name_H-M 'C m m m'
_symmetry_Int_Tables_number 65
_symmetry_space_group_name_Hall '-C 2 2'
_cell_length_a 6.0766
_cell_length_b 7.7256
_cell_length_c 3.6279
_cell_angle_alpha 90.00
_cell_angle_beta 90.00
_cell_angle_gamma 90.00
loop_
_atom_site_label
_atom_site_type_symbol
_atom_site_fract_x
_atom_site_fract_y
_atom_site_fract_z
Zr1 Zr 0.0000 0.0000 0.0000
Si1 Si 0.0000 0.5000 0.0000
Sb1 Sb 0.2500 0.2500 0.5000
```

=====

# 9
Here is Sm2Sb at its PBEsol-relaxed geometry from Alexandria via LeMat-Bulk. Energies are from SCAN.

Values from the calculation:
The crystal system is tetragonal. Its volume is 28.30 A^3/atom. For the raw total energy, the calculation gives -3.159 Ry/atom. The formation energy (no corrections) is -2.8 eV per formula unit.

CIF file:
```
data_Sm2Sb
_chemical_formula_sum 'Sm8 Sb4'
_symmetry_space_group_name_H-M 'I 4/m m m'
_symmetry_Int_Tables_number 139
_symmetry_space_group_name_Hall '-I 4 2'
_cell_length_a 4.4340
_cell_length_b 4.4340
_cell_length_c 17.2730
_cell_angle_alpha 90.00
_cell_angle_beta 90.00
_cell_angle_gamma 90.00
loop_
_atom_site_label
_atom_site_type_symbol
_atom_site_fract_x
_atom_site_fract_y
_atom_site_fract_z
Sm1 Sm 0.0000 0.0000 0.1789
Sm2 Sm 0.0000 0.5000 0.0000
Sb1 Sb 0.0000 0.0000 0.3614
```

=====

# 10
Here is Sm5Sb3 at its PBEsol-relaxed geometry from Alexandria via LeMat-Bulk. Energies are from SCAN.

Values from the calculation:
The crystal system is hexagonal. Its volume is 28.15 A^3/atom. For the raw total energy, the calculation gives -3.147 Ry/atom. The formation energy (no corrections) is -8.5 eV per formula unit.

CIF file:
```
data_Sm5Sb3
_chemical_formula_sum 'Sm10 Sb6'
_symmetry_space_group_name_H-M 'P 63/m c m'
_symmetry_Int_Tables_number 193
_symmetry_space_group_name_Hall '-P 6c 2'
_cell_length_a 9.0767
_cell_length_b 9.0767
_cell_length_c 6.3136
_cell_angle_alpha 90.00
_cell_angle_beta 90.00
_cell_angle_gamma 120.00
loop_
_atom_site_label
_atom_site_type_symbol
_atom_site_fract_x
_atom_site_fract_y
_atom_site_fract_z
Sm1 Sm 0.0000 0.2486 0.2500
Sm2 Sm 0.3333 0.6667 0.0000
Sb1 Sb 0.0000 0.3881 0.7500
```

=====

# 11
Here is SmSbTe at its PBEsol-relaxed geometry from Alexandria via LeMat-Bulk. Energies are from SCAN.

Values from the calculation:
The crystal system is tetragonal. Its volume is 27.97 A^3/atom. For the raw total energy, the calculation gives -3.008 Ry/atom. The formation energy (no corrections) is -3.8 eV per formula unit.

CIF file:
```
data_SmSbTe
_chemical_formula_sum 'Sm2 Sb2 Te2'
_symmetry_space_group_name_H-M 'P 4/n m m'
_symmetry_Int_Tables_number 129
_cell_length_a 4.2607
_cell_length_b 4.2607
_cell_length_c 9.2452
_cell_angle_alpha 90.00
_cell_angle_beta 90.00
_cell_angle_gamma 90.00
loop_
_symmetry_equiv_pos_as_xyz
'x,y,z'
'-x,-y,-z'
'-y+1/2,x,z'
'y+1/2,-x,-z'
'-x+1/2,-y+1/2,z'
'x+1/2,y+1/2,-z'
'y,-x+1/2,z'
'-y,x+1/2,-z'
'x+1/2,-y,-z'
'-x+1/2,y,z'
'-y,-x,-z'
'y,x,z'
'-x,y+1/2,-z'
'x,-y+1/2,z'
'y+1/2,x+1/2,-z'
'-y+1/2,-x+1/2,z'
loop_
_atom_site_label
_atom_site_type_symbol
_atom_site_fract_x
_atom_site_fract_y
_atom_site_fract_z
Sm1 Sm 0.2500 0.2500 0.2265
Sb1 Sb 0.2500 0.7500 0.5000
Te1 Te 0.2500 0.2500 0.8757
```

=====

# 12
Here is Sm2ZnSb4 at its PBEsol-relaxed geometry from Alexandria via LeMat-Bulk. Energies are from SCAN.

Values from the calculation:
The crystal system is tetragonal. Its volume is 25.97 A^3/atom. For the raw total energy, the calculation gives -2.699 Ry/atom. The formation energy (no corrections) is -5.6 eV per formula unit.

CIF file:
```
data_Sm2ZnSb4
_chemical_formula_sum 'Sm2 Zn1 Sb4'
_symmetry_space_group_name_H-M 'P -4 m 2'
_symmetry_Int_Tables_number 115
_cell_length_a 4.3101
_cell_length_b 4.3101
_cell_length_c 9.7844
_cell_angle_alpha 90.00
_cell_angle_beta 90.00
_cell_angle_gamma 90.00
loop_
_symmetry_equiv_pos_as_xyz
'x,y,z'
'y,-x,-z'
'-x,-y,z'
'-y,x,-z'
'-x,y,z'
'-y,-x,-z'
'x,-y,z'
'y,x,-z'
loop_
_atom_site_label
_atom_site_type_symbol
_atom_site_fract_x
_atom_site_fract_y
_atom_site_fract_z
Sm1 Sm 0.0000 0.5000 0.2485
Zn1 Zn 0.0000 0.0000 0.0000
Sb1 Sb 0.0000 0.0000 0.5000
Sb2 Sb 0.0000 0.5000 0.8437
Sb3 Sb 0.5000 0.5000 0.5000
```